# NiMoAs2 | the Alexandria database | SCAN | single point on PBEsol structure
data_NiMoAs2
_chemical_formula_sum 'Ni1 Mo1 As2'
_symmetry_space_group_name_H-M 'P 1'
_symmetry_Int_Tables_number 1
_cell_length_a 3.3953
_cell_length_b 4.5186
_cell_length_c 4.6595
_cell_angle_alpha 119.01
_cell_angle_beta 111.37
_cell_angle_gamma 90.00
loop_
_symmetry_equiv_pos_as_xyz
'x,y,z'
loop_
_atom_site_label
_atom_site_type_symbol
_atom_site_fract_x
_atom_site_fract_y
_atom_site_fract_z
_atom_site_occupancy
As1 As 0.7198 0.7198 0.4396 1
Ni1 Ni 0.0000 0.5000 0.0000 1
As2 As 0.2802 0.2802 0.5604 1
Mo1 Mo 0.5000 0.0000 0.0000 1
# VASP energy   -22.755 eV/atom
# Space-group type   Immm (71)